{
  "formula": "CaAg2Sn4",
  "functional": "PBE",
  "state": "relaxed",
  "dft_energy_ha_per_atom": -0.131,
  "m_tot_mub_per_cell": 0.00,
  "formation_enthalpy_0k_ev_per_fu": -1.3,
  "volume_a3_per_fu": 177.17,
  "cell": [[-1.518, -3.951, -2.003], [3.093, -4.101, 5.744], [-16.826, 1.375, 10.041]],
  "species": ["Sn", "Sn", "Sn", "Sn", "Sn", "Sn", "Sn", "Sn", "Sn", "Sn", "Sn", "Sn", "Sn", "Sn", "Sn", "Sn", "Ag", "Ag", "Ag", "Ag", "Ag", "Ag", "Ag", "Ag", "Ca", "Ca", "Ca", "Ca"],
  "fractional_positions": [[0.250, 0.139, 0.534], [0.250, 0.823, 0.185], [0.750, 0.177, 0.815], [0.250, 0.011, 0.933], [0.750, 0.735, 0.316], [0.750, 0.989, 0.067], [0.250, 0.265, 0.684], [0.750, 0.861, 0.466], [0.750, 0.765, 0.816], [0.250, 0.235, 0.184], [0.250, 0.489, 0.433], [0.750, 0.511, 0.567], [0.250, 0.677, 0.685], [0.750, 0.323, 0.315], [0.750, 0.639, 0.966], [0.250, 0.361, 0.034], [0.250, 0.530, 0.279], [0.750, 0.258, 0.959], [0.250, 0.970, 0.779], [0.250, 0.742, 0.041], [0.750, 0.470, 0.721], [0.750, 0.242, 0.459], [0.250, 0.758, 0.541], [0.750, 0.030, 0.221], [0.750, 0.965, 0.643], [0.250, 0.035, 0.357], [0.250, 0.465, 0.857], [0.750, 0.535, 0.143]]
}

---

{
  "formula": "CaCrRe2",
  "functional": "PBE",
  "state": "relaxed",
  "dft_energy_ha_per_atom": -0.312,
  "m_tot_mub_per_cell": 0.00,
  "formation_enthalpy_0k_ev_per_fu": 2.5,
  "volume_a3_per_fu": 66.07,
  "cell": [[2.756, -0.004, 0.000], [-0.932, 2.594, 0.000], [0.000, 0.000, 9.247]],
  "species": ["Re", "Re", "Cr", "Ca"],
  "fractional_positions": [[0.500, 0.500, 0.223], [0.000, 0.000, 0.988], [0.500, 0.500, 0.785], [0.000, 0.000, 0.505]]
}

---

{
  "formula": "Sc4InPt2",
  "functional": "PBE",
  "state": "relaxed",
  "dft_energy_ha_per_atom": -0.242,
  "m_tot_mub_per_cell": 0.00,
  "formation_enthalpy_0k_ev_per_fu": -6.0,
  "volume_a3_per_fu": 142.99,
  "cell": [[4.795, -0.001, 0.000], [-2.398, 4.153, 0.000], [0.000, 0.000, 14.363]],
  "species": ["Sc", "Sc", "Sc", "Sc", "Sc", "Sc", "Sc", "Sc", "Pt", "Pt", "Pt", "Pt", "In", "In"],
  "fractional_positions": [[0.833, 0.167, 0.370], [0.166, 0.834, 0.250], [0.167, 0.833, 0.870], [0.833, 0.167, 0.130], [0.834, 0.166, 0.750], [0.500, 0.500, 0.000], [0.167, 0.833, 0.630], [0.500, 0.500, 0.500], [0.167, 0.833, 0.440], [0.167, 0.833, 0.060], [0.833, 0.167, 0.560], [0.833, 0.167, 0.940], [0.499, 0.501, 0.250], [0.501, 0.499, 0.750]]
}

---

{
  "formula": "TbPmTh14",
  "functional": "PBE",
  "state": "relaxed",
  "dft_energy_ha_per_atom": -0.259,
  "m_tot_mub_per_cell": 0.00,
  "formation_enthalpy_0k_ev_per_fu": 0.6,
  "volume_a3_per_fu": 518.55,
  "cell": [[-1.613, -6.198, 3.256], [5.101, 0.189, -5.056], [7.983, 2.195, 8.135]],
  "species": ["Th", "Th", "Th", "Th", "Th", "Th", "Th", "Th", "Th", "Th", "Th", "Th", "Th", "Th", "Pm", "Tb"],
  "fractional_positions": [[0.875, 0.125, 0.249], [0.543, 0.956, 0.500], [0.375, 0.124, 0.751], [0.708, 0.292, 0.000], [0.044, 0.457, 0.500], [0.208, 0.291, 0.000], [0.208, 0.792, 0.000], [0.876, 0.625, 0.751], [0.709, 0.792, 0.000], [0.876, 0.625, 0.249], [0.375, 0.124, 0.249], [0.375, 0.625, 0.752], [0.875, 0.125, 0.751], [0.375, 0.625, 0.248], [0.540, 0.460, 0.500], [0.041, 0.959, 0.500]]
}

---

{
  "formula": "CaPr4Bi5",
  "functional": "PBE",
  "state": "relaxed",
  "dft_energy_ha_per_atom": -0.182,
  "m_tot_mub_per_cell": 0.00,
  "formation_enthalpy_0k_ev_per_fu": -8.9,
  "volume_a3_per_fu": 353.82,
  "cell": [[-2.440, -3.930, -0.242], [5.535, -3.371, -1.067], [-0.256, 2.144, 12.112]],
  "species": ["Bi", "Bi", "Bi", "Bi", "Bi", "Pr", "Pr", "Pr", "Pr", "Ca"],
  "fractional_positions": [[0.800, 0.300, 0.601], [0.601, 0.101, 0.202], [0.000, 0.500, 0.000], [0.200, 0.700, 0.399], [0.399, 0.899, 0.798], [0.199, 0.199, 0.398], [0.801, 0.801, 0.602], [0.401, 0.401, 0.802], [0.599, 0.599, 0.198], [0.000, 0.000, 0.000]]
}

---

{
  "formula": "NaSi2Au6",
  "functional": "PBE",
  "state": "relaxed",
  "e_form_raw_ev_per_atom": 0.059,
  "dft_energy_ha_per_atom": -0.128,
  "m_tot_mub_per_cell": 0.00,
  "volume_a3_per_fu": 205.44,
  "cell": [[-0.515, 8.318, 0.431], [-2.765, 3.653, 6.974], [5.283, 4.261, 4.855]],
  "species": ["Au", "Au", "Au", "Au", "Au", "Au", "Au", "Au", "Au", "Au", "Au", "Au", "Si", "Si", "Si", "Si", "Na", "Na"],
  "fractional_positions": [[0.767, 0.767, 0.233], [0.483, 0.017, 0.483], [0.017, 0.483, 0.483], [0.767, 0.233, 0.767], [0.233, 0.767, 0.767], [0.767, 0.233, 0.233], [0.017, 0.017, 0.483], [0.483, 0.483, 0.017], [0.017, 0.483, 0.017], [0.233, 0.767, 0.233], [0.233, 0.233, 0.767], [0.483, 0.017, 0.017], [0.125, 0.125, 0.625], [0.625, 0.125, 0.125], [0.125, 0.125, 0.125], [0.125, 0.625, 0.125], [0.500, 0.500, 0.500], [0.750, 0.750, 0.750]]
}